Na2ZrBiBr, PBEsol geometry, DFT SCAN; crystal system = tetragonal; E = -27.14 eV per atom
1.0
6.545 0.000 0.000
0.000 6.545 0.000
0.000 0.000 5.425
Na Zr Bi Br
2 1 1 1
direct
0.000 0.500 0.000
0.500 0.000 0.000
0.000 0.000 0.000
0.000 0.000 0.500
0.500 0.500 0.500